# 1
Below is KFeSn3O8 at its PBEsol-relaxed geometry, with properties calculated at the SCAN level.

## Properties
volume	12.81	A^3/atom
ρ	5.77	Mg/m³
final energy	-206.93	eV/cell

a b c (Å): 7.405 7.405 10.135
angles (deg): 132.72 132.72 24.61
Fractional positions:
K  0.000  0.000  0.000
Fe  0.133  0.133  0.444
Sn  0.331  0.331  0.155
Sn  0.650  0.650  0.767
Sn  0.828  0.828  0.487
O  0.026  0.026  0.681
O  0.286  0.286  0.905
O  0.319  0.319  0.612
O  0.323  0.323  0.347
O  0.631  0.631  0.552
O  0.633  0.633  0.322
O  0.695  0.695  0.017
O  0.953  0.953  0.254

***

# 2
Below is K3FeOs at its PBEsol-relaxed geometry, with properties calculated at the SCAN level.

## Properties
volume	43.69	A^3/atom
ρ	2.76	Mg/m³
formation energy from the elements	8.26	eV/f.u.
final energy	-106.73	eV/cell

a b c (Å): 6.023 6.023 6.023
angles (deg): 90.00 90.00 90.00
Fractional positions:
K  0.000  0.000  0.500
K  0.000  0.500  0.000
K  0.500  0.000  0.000
Fe  0.500  0.500  0.500
Os  0.000  0.000  0.000

***

# 3
Below is KFeOs at its PBEsol-relaxed geometry, with properties calculated at the SCAN level.

## Properties
volume	19.52	A^3/atom
ρ	8.09	Mg/m³
formation energy from the elements	2.45	eV/f.u.
final energy	-95.89	eV/cell

a b c (Å): 6.446 6.446 6.446
angles (deg): 156.67 146.43 41.29
Fractional positions:
K  0.000  0.000  0.000
Fe  0.283  0.283  0.000
Os  0.719  0.719  0.000

***

# 4
Below is K2TiFeOs at its PBEsol-relaxed geometry, with properties calculated at the SCAN level.

## Properties
volume	28.68	A^3/atom
ρ	4.31	Mg/m³
formation energy from the elements	8.68	eV/f.u.
final energy	-114.02	eV/cell

a b c (Å): 5.733 5.733 4.363
angles (deg): 90.00 90.00 90.00
Fractional positions:
K  0.000  0.500  0.000
K  0.500  0.000  0.000
Ti  0.000  0.000  0.500
Fe  0.500  0.500  0.000
Os  0.500  0.500  0.500

***

# 5
Below is KFe3P at its PBEsol-relaxed geometry, with properties calculated at the SCAN level.

## Properties
volume	16.29	A^3/atom
ρ	4.84	Mg/m³
formation energy from the elements	12.82	eV/f.u.
final energy	-60.30	eV/cell

a b c (Å): 4.335 4.335 4.335
angles (deg): 90.00 90.00 90.00
Fractional positions:
K  0.000  0.000  0.000
Fe  0.000  0.000  0.500
Fe  0.000  0.500  0.000
Fe  0.500  0.000  0.000
P  0.500  0.500  0.500

***

# 6
Below is KFe2Pb at its PBEsol-relaxed geometry, with properties calculated at the SCAN level.

## Properties
volume	20.91	A^3/atom
ρ	7.11	Mg/m³
distance to the lowest polymorph of the same formula	0.0	kJ/mol of atoms
formation energy from the elements	1.44	eV/f.u.
final energy	-118.93	eV/cell

a b c (Å): 3.200 3.200 8.167
angles (deg): 90.00 90.00 90.00
Fractional positions:
K  0.000  0.000  0.000
Fe  0.000  0.000  0.574
Fe  0.500  0.500  0.681
Pb  0.500  0.500  0.344

***

# 7
Below is K2FePb at its PBEsol-relaxed geometry, with properties calculated at the SCAN level.

## Properties
volume	28.83	A^3/atom
ρ	4.91	Mg/m³
formation energy from the elements	1.97	eV/f.u.
final energy	-108.60	eV/cell

a b c (Å): 3.467 5.620 5.926
angles (deg): 90.00 92.95 90.00
Fractional positions:
K  0.030  0.000  0.254
K  0.970  0.000  0.746
Fe  0.500  0.500  0.500
Pb  0.500  0.500  0.000

***

# 8
Below is KFePb2 at its PBEsol-relaxed geometry, with properties calculated at the SCAN level.

## Properties
volume	28.97	A^3/atom
ρ	7.30	Mg/m³
formation energy from the elements	1.20	eV/f.u.
final energy	-176.82	eV/cell

a b c (Å): 3.712 3.712 8.411
angles (deg): 90.00 90.00 90.00
Fractional positions:
K  0.000  0.000  0.000
Fe  0.500  0.500  0.624
Pb  0.000  0.000  0.595
Pb  0.500  0.500  0.308